Material: Sm2MgSc2
Method: DFT, PBE
State: optimized geometry

a = 6.3734 Å, b = 6.3734 Å, c = 9.3487 Å
α = 104.82°, β = 104.82°, γ = 50.33°
Fractional positions:
Sm  0.0611  0.0611  0.3463
Sm  0.2583  0.2583  0.7570
Sm  0.7417  0.7417  0.2430
Sm  0.9389  0.9389  0.6537
Mg  0.3658  0.3658  0.4425
Mg  0.6342  0.6342  0.5575
Sc  0.1405  0.1405  0.0303
Sc  0.4359  0.4359  0.1384
Sc  0.5641  0.5641  0.8616
Sc  0.8595  0.8595  0.9697

Values from the calculation:
distance to the lowest polymorph of the same formula: 34 meV/atom
volume: 140 Å³/f.u.
size of the total moment: 0.0 Bohr magnetons per cell
energy relative to the elements: 0.03 eV per atom
space group: C2/m, No. 12

---

Material: PmSm2Lu
Method: DFT, PBE
State: optimized geometry

a = 5.0715 Å, b = 5.0715 Å, c = 5.0822 Å
α = 90.00°, β = 90.00°, γ = 90.00°
Fractional positions:
Pm  0.0000  0.0000  0.0000
Sm  0.0000  0.5000  0.5000
Sm  0.5000  0.0000  0.5000
Lu  0.5000  0.5000  0.0000

Values from the calculation:
distance to the lowest polymorph of the same formula: 0 meV/atom
volume: 131 Å³/f.u.
size of the total moment: 0.0 Bohr magnetons per cell
energy relative to the elements: 0.02 eV per atom
space group: P4/mmm, No. 123

---

Material: AlAu2O
Method: DFT, PBE
State: optimized geometry

a = 5.5157 Å, b = 5.5157 Å, c = 5.5157 Å
α = 103.25°, β = 103.25°, γ = 122.79°
Fractional positions:
Al  0.0000  0.0000  0.0000
Al  0.7500  0.2500  0.5000
Au  0.1488  0.1250  0.5238
Au  0.3750  0.8512  0.9762
Au  0.6012  0.6250  0.4762
Au  0.8750  0.3988  0.0238
O  0.2500  0.7500  0.5000
O  0.5000  0.5000  0.0000

Values from the calculation:
distance to the lowest polymorph of the same formula: 0 meV/atom
volume: 62 Å³/f.u.
size of the total moment: 0.0 Bohr magnetons per cell
space group: I-42d, No. 122

---

Material: VReAs2Rh
Method: DFT, PBE
State: optimized geometry

a = 4.5733 Å, b = 4.5733 Å, c = 4.5275 Å
α = 90.00°, β = 90.00°, γ = 90.00°
Fractional positions:
V  0.0000  0.0000  0.0000
Re  0.0000  0.0000  0.5000
As  0.0000  0.5000  0.0000
As  0.5000  0.0000  0.0000
Rh  0.5000  0.5000  0.5000

Values from the calculation:
volume: 95 Å³/f.u.
size of the total moment: 1.0 Bohr magnetons per cell
energy relative to the elements: 1.12 eV per atom
space group: P4/mmm, No. 123

---

Material: Pb5I2F8
Method: DFT, PBE
State: optimized geometry

a = 19.4841 Å, b = 19.4841 Å, c = 19.4841 Å
α = 12.82°, β = 12.82°, γ = 12.82°
Fractional positions:
Pb  0.0000  0.0000  0.0000
Pb  0.0874  0.0874  0.0874
Pb  0.2841  0.2841  0.2841
Pb  0.4699  0.4699  0.4699
Pb  0.5567  0.5567  0.5567
I  0.7151  0.7151  0.7151
I  0.8512  0.8512  0.8512
F  0.1336  0.1336  0.1336
F  0.2339  0.2339  0.2339
F  0.3283  0.3283  0.3283
F  0.4283  0.4283  0.4283
F  0.5968  0.5968  0.5968
F  0.6483  0.6483  0.6483
F  0.7825  0.7825  0.7825
F  0.9582  0.9582  0.9582

Values from the calculation:
volume: 317 Å³/f.u.
size of the total moment: 0.0 Bohr magnetons per cell
E: -66.3 eV per cell
space group: R3m, No. 160

---

Material: Rb3SnIr
Method: DFT, PBE
State: optimized geometry

a = 6.3298 Å, b = 6.3298 Å, c = 6.3298 Å
α = 90.00°, β = 90.00°, γ = 90.00°
Fractional positions:
Rb  0.0000  0.0000  0.5000
Rb  0.0000  0.5000  0.0000
Rb  0.5000  0.0000  0.0000
Sn  0.5000  0.5000  0.5000
Ir  0.0000  0.0000  0.0000

Values from the calculation:
distance to the lowest polymorph of the same formula: 0 meV/atom
volume: 254 Å³/f.u.
size of the total moment: 0.9 Bohr magnetons per cell
energy relative to the elements: 0.89 eV per atom
space group: Pm-3m, No. 221

---

Material: PuSnF
Method: DFT, PBE
State: optimized geometry

a = 6.5404 Å, b = 6.5404 Å, c = 6.5404 Å
α = 150.64°, β = 150.64°, γ = 42.00°
Fractional positions:
Pu  0.0000  0.0000  0.0000
Sn  0.2867  0.2867  0.0000
F  0.5681  0.5681  0.0000

Values from the calculation:
distance to the lowest polymorph of the same formula: 135 meV/atom
volume: 67 Å³/f.u.
size of the total moment: 5.8 Bohr magnetons per cell
space group: I4mm, No. 107

---

Material: LiLa2YTe4
Method: DFT, PBE
State: optimized geometry

a = 7.6847 Å, b = 4.4626 Å, c = 7.7625 Å
α = 90.00°, β = 109.49°, γ = 90.00°
Fractional positions:
Li  0.0000  0.0000  0.0000
La  0.5000  0.0000  0.5000
La  0.5000  0.5000  0.0000
Y  0.0000  0.5000  0.5000
Te  0.2291  0.5000  0.2394
Te  0.2311  0.0000  0.7490
Te  0.7689  0.0000  0.2510
Te  0.7709  0.5000  0.7606

Values from the calculation:
volume: 251 Å³/f.u.
size of the total moment: 0.0 Bohr magnetons per cell
E: -42.3 eV per cell
space group: P2/m, No. 10

---

Material: NbCoSbN2
Method: DFT, PBE
State: optimized geometry

a = 3.8272 Å, b = 3.8272 Å, c = 4.9446 Å
α = 90.00°, β = 90.00°, γ = 90.00°
Fractional positions:
Nb  0.0000  0.0000  0.0000
Co  0.5000  0.5000  0.5000
Sb  0.5000  0.5000  0.0000
N  0.0000  0.5000  0.5000
N  0.5000  0.0000  0.5000

Values from the calculation:
volume: 72 Å³/f.u.
size of the total moment: 0.6 Bohr magnetons per cell
E: -31.8 eV per cell
space group: P4/mmm, No. 123

---

Material: CoSiOsBr2
Method: DFT, PBE
State: optimized geometry

a = 4.8162 Å, b = 4.8162 Å, c = 4.4469 Å
α = 90.00°, β = 90.00°, γ = 90.00°
Fractional positions:
Co  0.0000  0.0000  0.0000
Si  0.0000  0.0000  0.5000
Os  0.5000  0.5000  0.5000
Br  0.0000  0.5000  0.0000
Br  0.5000  0.0000  0.0000

Values from the calculation:
volume: 103 Å³/f.u.
size of the total moment: 3.6 Bohr magnetons per cell
E: -20.1 eV per cell
space group: P4/mmm, No. 123

---

Material: FeSi2HgMo
Method: DFT, PBE
State: optimized geometry

a = 4.8254 Å, b = 4.8254 Å, c = 5.3048 Å
α = 90.00°, β = 90.00°, γ = 90.00°
Fractional positions:
Fe  0.0000  0.0000  0.0000
Si  0.0000  0.5000  0.5000
Si  0.5000  0.0000  0.5000
Hg  0.5000  0.5000  0.5000
Mo  0.5000  0.5000  0.0000

Values from the calculation:
volume: 124 Å³/f.u.
size of the total moment: 6.5 Bohr magnetons per cell
E: -20.0 eV per cell
space group: P4/mmm, No. 123

---

Material: Cd2Sn2Pb
Method: DFT, PBE
State: optimized geometry

a = 8.7493 Å, b = 8.7493 Å, c = 3.5355 Å
α = 90.00°, β = 90.00°, γ = 90.00°
Fractional positions:
Cd  0.1242  0.3758  0.0000
Cd  0.3758  0.8758  0.0000
Cd  0.6242  0.1242  0.0000
Cd  0.8758  0.6242  0.0000
Sn  0.1753  0.6753  0.5000
Sn  0.3247  0.1753  0.5000
Sn  0.6753  0.8247  0.5000
Sn  0.8247  0.3247  0.5000
Pb  0.0000  0.0000  0.0000
Pb  0.5000  0.5000  0.0000

Values from the calculation:
distance to the lowest polymorph of the same formula: 0 meV/atom
volume: 135 Å³/f.u.
size of the total moment: 0.0 Bohr magnetons per cell
energy relative to the elements: 0.07 eV per atom
space group: P4/mbm, No. 127

---

Material: SbPt2Br
Method: DFT, PBE
State: optimized geometry

a = 3.7700 Å, b = 4.0437 Å, c = 5.4942 Å
α = 90.00°, β = 90.36°, γ = 90.00°
Fractional positions:
Sb  0.0000  0.0000  0.0000
Pt  0.0000  0.0000  0.5000
Pt  0.5000  0.5000  0.0000
Br  0.5000  0.5000  0.5000

Values from the calculation:
distance to the lowest polymorph of the same formula: 318 meV/atom
volume: 84 Å³/f.u.
size of the total moment: 0.0 Bohr magnetons per cell
space group: P2/m, No. 10

---

Material: NbSbSe4
Method: DFT, PBE
State: optimized geometry

a = 7.5326 Å, b = 7.5326 Å, c = 6.8281 Å
α = 115.74°, β = 115.74°, γ = 28.80°
Fractional positions:
Nb  0.0000  0.0000  0.0000
Sb  0.5000  0.5000  0.5000
Se  0.1205  0.1205  0.8128
Se  0.3828  0.3828  0.7287
Se  0.6172  0.6172  0.2713
Se  0.8795  0.8795  0.1872

Values from the calculation:
distance to the lowest polymorph of the same formula: 0 meV/atom
volume: 167 Å³/f.u.
size of the total moment: 0.0 Bohr magnetons per cell
space group: C2/m, No. 12

---

Material: FeTc2Hg
Method: DFT, PBE
State: optimized geometry

a = 4.8272 Å, b = 4.8272 Å, c = 2.8717 Å
α = 90.00°, β = 90.00°, γ = 113.16°
Fractional positions:
Fe  0.0000  0.0000  0.0000
Tc  0.0000  0.5000  0.5000
Tc  0.5000  0.0000  0.5000
Hg  0.5000  0.5000  0.0000

Values from the calculation:
volume: 62 Å³/f.u.
size of the total moment: 2.2 Bohr magnetons per cell
energy relative to the elements: 0.60 eV per atom
space group: Cmmm, No. 65

---

Material: LiHo4Os
Method: DFT, PBE
State: optimized geometry

a = 7.9303 Å, b = 7.9303 Å, c = 7.9303 Å
α = 102.39°, β = 102.39°, γ = 124.80°
Fractional positions:
Li  0.0000  0.0000  0.0000
Li  0.7500  0.2500  0.5000
Ho  0.0511  0.8163  0.2348
Ho  0.0829  0.3919  0.3090
Ho  0.0829  0.7739  0.6910
Ho  0.1419  0.3329  0.8090
Ho  0.5239  0.3329  0.1910
Ho  0.5663  0.3011  0.7348
Ho  0.5663  0.8314  0.2652
Ho  0.5814  0.8163  0.7652
Os  0.3502  0.8502  0.5000
Os  0.6002  0.6002  0.0000

Values from the calculation:
volume: 181 Å³/f.u.
size of the total moment: 0.0 Bohr magnetons per cell
energy relative to the elements: 0.15 eV per atom
space group: I4_1md, No. 109

---

Material: Ir2RuSe
Method: DFT, PBE
State: optimized geometry

a = 2.8406 Å, b = 3.7475 Å, c = 5.7408 Å
α = 90.00°, β = 90.00°, γ = 90.00°
Fractional positions:
Ir  0.0000  0.0000  0.0000
Ir  0.5000  0.5000  0.2238
Ru  0.0000  0.0000  0.4758
Se  0.5000  0.5000  0.6807

Values from the calculation:
volume: 61 Å³/f.u.
size of the total moment: 0.0 Bohr magnetons per cell
E: -29.0 eV per cell
space group: Pmm2, No. 25

---

Material: TbHo2TmSe4
Method: DFT, PBE
State: optimized geometry

a = 7.0231 Å, b = 4.0045 Å, c = 7.0865 Å
α = 90.00°, β = 108.83°, γ = 90.00°
Fractional positions:
Tb  0.0000  0.0000  0.0000
Ho  0.5000  0.0000  0.5000
Ho  0.5000  0.5000  0.0000
Tm  0.0000  0.5000  0.5000
Se  0.2486  0.0000  0.7460
Se  0.2512  0.5000  0.2540
Se  0.7488  0.5000  0.7460
Se  0.7514  0.0000  0.2540

Values from the calculation:
volume: 189 Å³/f.u.
size of the total moment: 0.0 Bohr magnetons per cell
E: -45.9 eV per cell
space group: P2/m, No. 10

---

Material: MgSeI
Method: DFT, PBE
State: optimized geometry

a = 7.7873 Å, b = 7.7873 Å, c = 6.7696 Å
α = 102.54°, β = 102.54°, γ = 32.22°
Fractional positions:
Mg  0.0000  0.0000  0.0000
Mg  0.5467  0.5467  0.4475
Se  0.4693  0.4693  0.7763
Se  0.6038  0.6038  0.0734
I  0.1722  0.1722  0.5803
I  0.8975  0.8975  0.2874

Values from the calculation:
distance to the lowest polymorph of the same formula: 34 meV/atom
volume: 107 Å³/f.u.
size of the total moment: 0.0 Bohr magnetons per cell
space group: Cm, No. 8

---

Material: Sm2Ga2NiRh5
Method: DFT, PBE
State: optimized geometry

a = 9.8198 Å, b = 9.8198 Å, c = 3.5372 Å
α = 90.00°, β = 90.00°, γ = 90.00°
Fractional positions:
Sm  0.1747  0.3253  0.0000
Sm  0.3253  0.8253  0.0000
Sm  0.6747  0.1747  0.0000
Sm  0.8253  0.6747  0.0000
Ga  0.1256  0.6256  0.0000
Ga  0.3744  0.1256  0.0000
Ga  0.6256  0.8744  0.0000
Ga  0.8744  0.3744  0.0000
Ni  0.0000  0.0000  0.0000
Ni  0.5000  0.5000  0.0000
Rh  0.0000  0.5000  0.5000
Rh  0.0629  0.8002  0.5000
Rh  0.1998  0.0629  0.5000
Rh  0.3002  0.5629  0.5000
Rh  0.4371  0.3002  0.5000
Rh  0.5000  0.0000  0.5000
Rh  0.5629  0.6998  0.5000
Rh  0.6998  0.4371  0.5000
Rh  0.8002  0.9371  0.5000
Rh  0.9371  0.1998  0.5000

Values from the calculation:
volume: 171 Å³/f.u.
size of the total moment: 2.1 Bohr magnetons per cell
energy relative to the elements: -0.53 eV per atom
space group: P4/mbm, No. 127